# MnNiMo2 | the Alexandria database | PBE | relaxed
data_MnNiMo2
_cell_length_a 3.2933
_cell_length_b 4.1286
_cell_length_c 8.1203
_cell_angle_alpha 90.00
_cell_angle_beta 90.00
_cell_angle_gamma 90.00
_space_group_name_H-M_alt 'C m m 2'
_space_group_IT_number 35
loop_
_space_group_symop_operation_xyz
'x,y,z'
'-x,-y,z'
'-x,y,z'
'x,-y,z'
'x+1/2,y+1/2,z'
'-x+1/2,-y+1/2,z'
'-x+1/2,y+1/2,z'
'x+1/2,-y+1/2,z'
loop_
_atom_site_label
_atom_site_type_symbol
_atom_site_fract_x
_atom_site_fract_y
_atom_site_fract_z
Mn1 Mn 0.0000 0.0000 0.0000
Ni1 Ni 0.0000 0.5000 0.2231
Mo1 Mo 0.0000 0.0000 0.4649
Mo2 Mo 0.0000 0.5000 0.7475
# Calculated formation energy (eV per formula unit): 0.35
# N(E_F) (states/eV/f.u.): 3.35
# Electronic total energy (eV per atom): -9.0660
# Total magnetization (μB per cell): 4.94
# Theoretical density (g/cm3): 9.19
# Energy above the most stable polymorph in this dataset (eV/atom): 0.0239


# MgInHI2 | the Alexandria database | PBE | relaxed
data_MgInHI2
_cell_length_a 6.0259
_cell_length_b 6.0259
_cell_length_c 3.9044
_cell_angle_alpha 90.00
_cell_angle_beta 90.00
_cell_angle_gamma 90.00
_space_group_name_H-M_alt 'P 4/m m m'
_space_group_IT_number 123
_space_group_name_Hall '-P 4 2'
loop_
_atom_site_label
_atom_site_type_symbol
_atom_site_fract_x
_atom_site_fract_y
_atom_site_fract_z
Mg1 Mg 0.0000 0.0000 0.0000
In1 In 0.5000 0.5000 0.5000
H1 H 0.0000 0.0000 0.5000
I1 I 0.0000 0.5000 0.0000
# N(E_F) (states/eV/f.u.): 0.00
# Electronic total energy (eV per atom): -2.6060
# Total magnetization (μB per cell): 0.00
# Theoretical density (g/cm3): 4.61


# MnBi2P | the Alexandria database | PBE | relaxed
data_MnBi2P
_cell_length_a 7.2095
_cell_length_b 7.2095
_cell_length_c 7.2095
_cell_angle_alpha 90.00
_cell_angle_beta 90.00
_cell_angle_gamma 90.00
_space_group_name_H-M_alt 'F m -3 m'
_space_group_IT_number 225
_space_group_name_Hall '-F 4 2 3'
loop_
_atom_site_label
_atom_site_type_symbol
_atom_site_fract_x
_atom_site_fract_y
_atom_site_fract_z
Mn1 Mn 0.0000 0.0000 0.0000
Bi1 Bi 0.2500 0.2500 0.2500
P1 P 0.0000 0.0000 0.5000
# Calculated formation energy (eV per formula unit): 2.31
# N(E_F) (states/eV/f.u.): 3.19
# Electronic total energy (eV per atom): -5.0066
# Total magnetization (μB per cell): 16.07
# Theoretical density (g/cm3): 8.93
# Energy above the most stable polymorph in this dataset (eV/atom): 0.0000


# MnIr4Cl | the Alexandria database | PBE | relaxed
data_MnIr4Cl
_cell_length_a 7.4337
_cell_length_b 7.4337
_cell_length_c 7.4337
_cell_angle_alpha 90.00
_cell_angle_beta 90.00
_cell_angle_gamma 90.00
_space_group_name_H-M_alt 'F -4 3 m'
_space_group_IT_number 216
_space_group_name_Hall 'F -4 2 3'
loop_
_atom_site_label
_atom_site_type_symbol
_atom_site_fract_x
_atom_site_fract_y
_atom_site_fract_z
Mn1 Mn 0.0000 0.0000 0.0000
Ir1 Ir 0.1252 0.1252 0.3748
Cl1 Cl 0.2500 0.2500 0.7500
# N(E_F) (states/eV/f.u.): 9.04
# Electronic total energy (eV per atom): -6.8977
# Total magnetization (μB per cell): 2.33
# Theoretical density (g/cm3): 13.89
# Energy relative to the elements, uncorrected (meV per atom): 846


# ErMnCoNi | the Alexandria database | PBE | relaxed
data_ErMnCoNi
_cell_length_a 6.2394
_cell_length_b 6.2394
_cell_length_c 6.2394
_cell_angle_alpha 90.00
_cell_angle_beta 90.00
_cell_angle_gamma 90.00
_space_group_name_H-M_alt 'F -4 3 m'
_space_group_IT_number 216
_space_group_name_Hall 'F -4 2 3'
loop_
_atom_site_label
_atom_site_type_symbol
_atom_site_fract_x
_atom_site_fract_y
_atom_site_fract_z
Er1 Er 0.0000 0.0000 0.0000
Mn1 Mn 0.0000 0.0000 0.5000
Co1 Co 0.2500 0.2500 0.7500
Ni1 Ni 0.2500 0.2500 0.2500
# Calculated formation energy (eV per formula unit): -0.33
# N(E_F) (states/eV/f.u.): 2.62
# Electronic total energy (eV per atom): -6.7373
# Total magnetization (μB per cell): 19.63
# Theoretical density (g/cm3): 9.29


# ScMo2Os | the Alexandria database | PBE | relaxed
data_ScMo2Os
_cell_length_a 3.1443
_cell_length_b 4.4282
_cell_length_c 4.6341
_cell_angle_alpha 90.00
_cell_angle_beta 90.00
_cell_angle_gamma 90.00
_space_group_name_H-M_alt 'P m m m'
_space_group_IT_number 47
loop_
_space_group_symop_operation_xyz
'x,y,z'
'-x,-y,-z'
'-x,-y,z'
'x,y,-z'
'x,-y,-z'
'-x,y,z'
'-x,y,-z'
'x,-y,z'
loop_
_atom_site_label
_atom_site_type_symbol
_atom_site_fract_x
_atom_site_fract_y
_atom_site_fract_z
Sc1 Sc 0.0000 0.0000 0.0000
Mo1 Mo 0.0000 0.5000 0.5000
Mo2 Mo 0.5000 0.0000 0.5000
Os1 Os 0.5000 0.5000 0.0000
# Calculated formation energy (eV per formula unit): -0.25
# N(E_F) (states/eV/f.u.): 3.33
# Electronic total energy (eV per atom): -9.8694
# Total magnetization (μB per cell): 0.00
# Theoretical density (g/cm3): 10.99
# Energy above the most stable polymorph in this dataset (eV/atom): 0.0506


# Mg3Cd4Hg12 | the Alexandria database | PBE | relaxed
data_Mg3Cd4Hg12
_cell_length_a 10.8104
_cell_length_b 10.8104
_cell_length_c 10.8104
_cell_angle_alpha 90.00
_cell_angle_beta 90.00
_cell_angle_gamma 90.00
_space_group_name_H-M_alt 'I m -3'
_space_group_IT_number 204
_space_group_name_Hall '-I 2 2 3'
loop_
_atom_site_label
_atom_site_type_symbol
_atom_site_fract_x
_atom_site_fract_y
_atom_site_fract_z
Mg1 Mg 0.0000 0.0000 0.5000
Cd1 Cd 0.2500 0.2500 0.2500
Hg1 Hg 0.0000 0.3498 0.2245
# Calculated formation energy (eV per formula unit): 1.87
# N(E_F) (states/eV/f.u.): 5.72
# Electronic total energy (eV per atom): -0.5368
# Total magnetization (μB per cell): 0.00
# Theoretical density (g/cm3): 7.70


# LaAg2Ir | the Alexandria database | PBE | relaxed
data_LaAg2Ir
_cell_length_a 4.1071
_cell_length_b 4.1071
_cell_length_c 9.6811
_cell_angle_alpha 90.00
_cell_angle_beta 90.00
_cell_angle_gamma 90.00
_space_group_name_H-M_alt 'I 4/m m m'
_space_group_IT_number 139
_space_group_name_Hall '-I 4 2'
loop_
_atom_site_label
_atom_site_type_symbol
_atom_site_fract_x
_atom_site_fract_y
_atom_site_fract_z
La1 La 0.0000 0.0000 0.0000
Ag1 Ag 0.0000 0.5000 0.2500
Ir1 Ir 0.0000 0.0000 0.5000
# Calculated formation energy (eV per formula unit): -1.04
# N(E_F) (states/eV/f.u.): 0.51
# Electronic total energy (eV per atom): -5.1331
# Total magnetization (μB per cell): 0.00
# Theoretical density (g/cm3): 11.12
# Energy above the most stable polymorph in this dataset (eV/atom): 0.0000


# CsLiSe2 | the Alexandria database | PBE | relaxed
data_CsLiSe2
_cell_length_a 5.5649
_cell_length_b 5.5649
_cell_length_c 16.9114
_cell_angle_alpha 90.00
_cell_angle_beta 90.00
_cell_angle_gamma 90.00
_space_group_name_H-M_alt 'I 41/a m d'
_space_group_IT_number 141
loop_
_space_group_symop_operation_xyz
'x,y,z'
'-x,-y,-z'
'-y+1/4,x+3/4,z+1/4'
'y+1/4,-x+3/4,-z+1/4'
'-x+1/2,-y,z+1/2'
'x+1/2,y,-z+1/2'
'y+1/4,-x+1/4,z+3/4'
'-y+1/4,x+1/4,-z+3/4'
'x,-y,-z'
'-x,y,z'
'-y+1/4,-x+1/4,-z+3/4'
'y+1/4,x+1/4,z+3/4'
'-x+1/2,y,-z+1/2'
'x+1/2,-y,z+1/2'
'y+1/4,x+3/4,-z+1/4'
'-y+1/4,-x+3/4,z+1/4'
'x+1/2,y+1/2,z+1/2'
'-x+1/2,-y+1/2,-z+1/2'
'-y+3/4,x+1/4,z+3/4'
'y+3/4,-x+1/4,-z+3/4'
'-x,-y+1/2,z'
'x,y+1/2,-z'
'y+3/4,-x+3/4,z+1/4'
'-y+3/4,x+3/4,-z+1/4'
'x+1/2,-y+1/2,-z+1/2'
'-x+1/2,y+1/2,z+1/2'
'-y+3/4,-x+3/4,-z+1/4'
'y+3/4,x+3/4,z+1/4'
'-x,y+1/2,-z'
'x,-y+1/2,z'
'y+3/4,x+1/4,-z+3/4'
'-y+3/4,-x+1/4,z+3/4'
loop_
_atom_site_label
_atom_site_type_symbol
_atom_site_fract_x
_atom_site_fract_y
_atom_site_fract_z
Cs1 Cs 0.0000 0.2500 0.3750
Li1 Li 0.0000 0.2500 0.8750
Se1 Se 0.0000 0.0000 0.0000
# N(E_F) (states/eV/f.u.): 3.40
# Electronic total energy (eV per atom): -3.3541
# Total magnetization (μB per cell): 0.00
# Theoretical density (g/cm3): 3.78
# Energy relative to the elements, uncorrected (meV per atom): -920
# Energy above the most stable polymorph in this dataset (eV/atom): 0.0000


# Cs2YTl | the Alexandria database | PBE | relaxed
data_Cs2YTl
_cell_length_a 14.3224
_cell_length_b 14.3224
_cell_length_c 5.9156
_cell_angle_alpha 90.00
_cell_angle_beta 90.00
_cell_angle_gamma 90.00
_space_group_name_H-M_alt 'I -4 2 d'
_space_group_IT_number 122
_space_group_name_Hall 'I -4 2bw'
loop_
_atom_site_label
_atom_site_type_symbol
_atom_site_fract_x
_atom_site_fract_y
_atom_site_fract_z
Cs1 Cs 0.1002 0.2500 0.1250
Y1 Y 0.0000 0.0000 0.5000
Tl1 Tl 0.0000 0.0000 0.0000
# Calculated formation energy (eV per formula unit): 1.63
# N(E_F) (states/eV/f.u.): 3.97
# Electronic total energy (eV per atom): -2.2268
# Total magnetization (μB per cell): 1.40
# Theoretical density (g/cm3): 3.06